Density functional theory data (PBE) for an optimized crystal structure of Li2CeAlF8.

Properties
The calculation puts the uncorrected formation energy at -3.436 eV/atom. As for the total moment: 1.0 μB/cell. The value obtained for the density of states at the Fermi level is 0.320 states/eV per atom. The energy comes out at -5.809 eV per atom.

Cell: 4.6291 4.7416 6.8740 Å, 93.64 91.81 87.31°
Each line ends with the local moment (μB).
Atoms (fractional coordinates):
1 Li 0.4709 0.4706 0.8076  0.00
2 Li 0.5291 0.5294 0.1924  0.00
3 Ce 0.0000 0.0000 0.5000  0.97
4 Al 0.0000 0.0000 0.0000  0.00
5 F 0.1942 0.8106 0.1958  0.00
6 F 0.7246 0.7378 0.9923  0.00
7 F 0.8179 0.2059 0.2046  0.00
8 F 0.8058 0.1894 0.8042  0.00
9 F 0.2754 0.2622 0.0077  0.00
10 F 0.1821 0.7941 0.7954  0.00
11 F 0.6538 0.6984 0.4499  -0.01
12 F 0.3462 0.3016 0.5501  -0.01


Density functional theory data (PBE) for an optimized crystal structure of Dy4Cu3Hg.

Properties
The energy of formation is -2.18 eV/f.u. As for the total moment: 0.0 μB/cell. The value obtained for the density of states at the Fermi level is 0.993 states/eV per atom. The energy comes out at -4.148 eV per atom.

Cell: 3.7198 4.5964 10.6854 Å, 90.00 90.00 90.00°
Atoms (fractional coordinates):
1 Dy 0.5000 0.5000 0.3717
2 Dy 0.0000 0.5000 0.8434
3 Dy 0.0000 0.0000 0.1500
4 Dy 0.5000 0.0000 0.6368
5 Cu 0.0000 0.5000 0.5720
6 Cu 0.0000 0.0000 0.4317
7 Cu 0.5000 0.0000 0.9171
8 Hg 0.5000 0.5000 0.0773


- The lowest energy belongs to which entry?
  Li2CeAlF8


- What is the formula in the second record?
  Dy4Cu3Hg


Copy entry 2 word for word.
Density functional theory data (PBE) for an optimized crystal structure of Dy4Cu3Hg.

Properties
The energy of formation is -2.18 eV/f.u. As for the total moment: 0.0 μB/cell. The value obtained for the density of states at the Fermi level is 0.993 states/eV per atom. The energy comes out at -4.148 eV per atom.

Cell: 3.7198 4.5964 10.6854 Å, 90.00 90.00 90.00°
Atoms (fractional coordinates):
1 Dy 0.5000 0.5000 0.3717
2 Dy 0.0000 0.5000 0.8434
3 Dy 0.0000 0.0000 0.1500
4 Dy 0.5000 0.0000 0.6368
5 Cu 0.0000 0.5000 0.5720
6 Cu 0.0000 0.0000 0.4317
7 Cu 0.5000 0.0000 0.9171
8 Hg 0.5000 0.5000 0.0773